UMnGe2O8 | PBE with a Hubbard U | optimized geometry

Calculated values
Its total moment is 4.990 μB/f.u. Its space-group type is P-3m1. For the electronic total energy, the calculation gives -7.51 eV/atom.

Lattice parameters (Å, degrees): 5.6100 5.6100 6.3992 90.00 90.00 120.00
Last column: nearest neighbours and their distance in Å.
Positions (direct):
U  0.0000  0.0000  0.0000  6 O 2.08
Mn  0.0000  0.0000  0.5000  6 O 2.42
Ge  0.3333  0.6667  0.6744  4 O 1.68-1.81
Ge  0.6667  0.3333  0.3256  4 O 1.68-1.81
O  0.1621  0.3242  0.7865  1 Ge 1.81
O  0.1621  0.8379  0.7865  1 Ge 1.81
O  0.3242  0.1621  0.2135  1 Ge 1.81
O  0.3333  0.6667  0.4118  1 Ge 1.68
O  0.6667  0.3333  0.5882  1 Ge 1.68
O  0.6758  0.8379  0.7865  1 Ge 1.81
O  0.8379  0.1621  0.2135  1 Ge 1.81
O  0.8379  0.6758  0.2135  1 Ge 1.81